A relaxed NaZrPb2 crystal, computed with PBE.

The structure in CIF format:
```
data_NaZrPb2
_cell_length_a 5.556
_cell_length_b 5.556
_cell_length_c 3.304
_cell_angle_alpha 90.00
_cell_angle_beta 90.00
_cell_angle_gamma 90.00
_space_group_name_H-M_alt 'P 4/m m m'
_space_group_IT_number 123
_space_group_name_Hall '-P 4 2'
loop_
_atom_site_label
_atom_site_fract_x
_atom_site_fract_y
_atom_site_fract_z
Na1 0.000 0.000 0.000
Zr1 0.500 0.500 0.000
Pb1 0.000 0.500 0.500
```

## Properties
- ΔE_f: -0.079 eV/atom
- Volume: 25.501 Å³ per atom